[1]
Below is a relaxed UNi3Ge crystal, with properties calculated at the PBE level.

Cell: 4.3223 11.6154 5.8599 Å, 90.00 90.00 90.00°
Closest atoms and distances in Å follow each position.
Space group Cmcm (No. 63)
One atom of each set of equivalent atoms:
U: 0.0000 0.1068 0.2500 [4 per cell]  8 Ni 2.54-2.81
Ni: 0.0000 0.3191 0.0199 [8 per cell]  3 Ge 2.42-2.56, 5 Ni 2.42-2.71
Ni: 0.0000 0.4919 0.2500 [4 per cell]  4 Ni 2.42-2.71, 2 U 2.54
Ge: 0.0000 0.1617 0.7500 [4 per cell]  6 Ni 2.42-2.56

calculated formation energy: -214 meV/atom
crystal system: orthorhombic
E: -6.863 eV per atom

---

[2]
Below is a relaxed CaDy12Ni6 crystal, with properties calculated at the PBE level.

Cell: 9.8876 9.8876 9.8876 Å, 90.00 90.00 90.00°
Closest atoms and distances in Å follow each position.
Space group Im-3 (No. 204)
One atom of each set of equivalent atoms:
Ca: 0.0000 0.0000 0.0000 [2 per cell]  12 Dy 3.61
Dy: 0.0000 0.1870 0.3140 [24 per cell]  3 Ni 2.64-2.87
Ni: 0.0000 0.3778 0.5000 [12 per cell]  1 Ni 2.42, 2 Dy 2.64

calculated formation energy: -244 meV/atom
crystal system: cubic
E: -5.082 eV per atom

---

[3]
Below is a relaxed PmZn2Ag2 crystal, with properties calculated at the PBE level.

Cell: 4.2070 4.2070 23.3339 Å, 90.00 90.00 90.00°
Closest atoms and distances in Å follow each position.
Space group I4/mmm (No. 139)
One atom of each set of equivalent atoms:
Pm: 0.0000 0.0000 0.1248 [4 per cell]  8 Zn 3.23-3.60, 8 Ag 3.25-3.59
Zn: 0.0000 0.0000 0.4292 [4 per cell]  5 Ag 2.56-2.67
Zn: 0.0000 0.5000 0.2500 [4 per cell]  4 Ag 2.65
Ag: 0.0000 0.0000 0.3194 [4 per cell]  5 Zn 2.56-2.65
Ag: 0.0000 0.5000 0.0000 [4 per cell]  4 Zn 2.67, 4 Ag 2.97

calculated formation energy: -214 meV/atom
crystal system: tetragonal
E: -2.814 eV per atom